Density functional theory data (PBE-GGA) for a geometry-optimized Ba2DyAg2O6 structure.

Computed properties:
E_tot   -5.584 eV per atom
Symmetry   R-3m
Uncorrected formation energy   -1593 meV per atom

The structure in extended XYZ format:
```
11
Lattice="3.179 1.835 5.930 -3.179 1.835 5.930 0.000 -3.671 5.930" Properties=species:S:1:pos:R:3 pbc="T T T"
Ba 0.000 0.000 3.733
Ba 0.000 0.000 14.056
Dy 0.000 0.000 0.000
Ag 0.000 0.000 7.431
Ag 0.000 0.000 10.357
O -1.775 -1.025 10.286
O 0.000 -2.050 7.503
O -1.775 1.025 7.503
O 1.775 -1.025 10.286
O 0.000 2.050 10.286
O 1.775 1.025 7.503
```